VASP calculation (PBE) on a relaxed HgP2Pb crystal.

It has space group P2/m (No. 10), with a = 3.990 Å, b = 3.996 Å, c = 5.622 Å, α = 90.00°, β = 90.20° and γ = 90.00°. The distinct sites, in fractional coordinates, are Hg at (0.000, 0.000, 0.000), P at (0.000, 0.000, 0.500), P at (0.500, 0.500, 0.000) and Pb at (0.500, 0.500, 0.500).

Its formation energy from the elements is 0.35 eV per atom. The total energy is -3.354 eV/atom. The calculation puts the energy above the most stable polymorph in this dataset at 230 meV per atom.

=====

VASP calculation (PBE) on a relaxed NaInGaI3 crystal.

It has space group P2_1/m (No. 11), with a = 8.973 Å, b = 4.542 Å, c = 11.642 Å, α = 90.00°, β = 103.27° and γ = 90.00°. The distinct sites, in fractional coordinates, are Na at (0.161, 0.250, 0.152), In at (0.236, 0.750, 0.704), Ga at (0.400, 0.750, 0.464), I at (0.111, 0.250, 0.873), I at (0.160, 0.250, 0.432) and I at (0.426, 0.750, 0.222).

The total energy is -2.624 eV/atom. For the formation energy from raw total energies, the calculation gives -0.668 eV/atom.

=====

VASP calculation (PBE) on a relaxed SrZr4Ru crystal.

It has space group F-43m (No. 216), with a = 8.285 Å, b = 8.285 Å, c = 8.285 Å, α = 90.00°, β = 90.00° and γ = 90.00°. The distinct sites, in fractional coordinates, are Sr at (0.000, 0.000, 0.000), Zr at (0.123, 0.123, 0.623) and Ru at (0.250, 0.250, 0.250).

Its formation energy from the elements is 0.64 eV per atom. The total energy is -6.881 eV/atom.

=====

VASP calculation (PBE) on a relaxed LaEr2Pd crystal.

It has space group R3m (No. 160, hexagonal axes), with a = 3.9111 Å, b = 3.9111 Å, c = 27.5427 Å, α = 90.00°, β = 90.00° and γ = 120.00°. The distinct sites, in fractional coordinates, are La at (0.0000, 0.0000, 0.0000), Er at (0.0000, 0.0000, 0.5568), Er at (0.0000, 0.0000, 0.7708) and Pd at (0.0000, 0.0000, 0.1633).

Its formation energy from the elements is -0.33 eV per atom. The total energy is -5.137 eV/atom. The calculation puts the energy above the most stable polymorph in this dataset at 136 meV per atom.

=====

VASP calculation (PBE) on a relaxed Rb2PmNdSe4 crystal.

It has space group P2/m (No. 10), with a = 7.558 Å, b = 4.364 Å, c = 8.408 Å, α = 90.00°, β = 107.43° and γ = 90.00°. The distinct sites, in fractional coordinates, are Rb at (0.000, 0.000, 0.000), Rb at (0.500, 0.500, 0.000), Pm at (0.000, 0.500, 0.500), Nd at (0.500, 0.000, 0.500), Se at (0.232, 0.000, 0.700) and Se at (0.265, 0.500, 0.299).

The total energy is -4.911 eV/atom. For the formation energy from raw total energies, the calculation gives -1.737 eV/atom.

=====

VASP calculation (PBE) on a relaxed YCo2As crystal.

It has space group P4/mmm (No. 123), with a = 4.140 Å, b = 4.140 Å, c = 3.597 Å, α = 90.00°, β = 90.00° and γ = 90.00°. The distinct sites, in fractional coordinates, are Y at (0.000, 0.000, 0.000), Co at (0.000, 0.500, 0.500) and As at (0.500, 0.500, 0.000).

Its formation energy from the elements is -0.15 eV per atom. The total energy is -6.480 eV/atom.

=====

VASP calculation (PBE) on a relaxed Tl2AgSn2 crystal.

It has space group P4/mbm (No. 127), with a = 7.377 Å, b = 7.377 Å, c = 5.236 Å, α = 90.00°, β = 90.00° and γ = 90.00°. The distinct sites, in fractional coordinates, are Tl at (0.166, 0.334, 0.000), Ag at (0.000, 0.000, 0.500) and Sn at (0.145, 0.645, 0.500).

Its formation energy from the elements is 0.07 eV per atom. The total energy is -3.047 eV/atom. The calculation puts the energy above the most stable polymorph in this dataset at 47 meV per atom.

=====

VASP calculation (PBE) on a relaxed La2PrEr6Tm3 crystal.

It has space group C2/m (No. 12), with a = 6.176 Å, b = 10.694 Å, c = 11.763 Å, α = 90.00°, β = 100.08° and γ = 90.00°. The distinct sites, in fractional coordinates, are La at (0.000, 0.167, 0.000), Pr at (0.000, 0.500, 0.000), Er at (0.247, 0.167, 0.743), Er at (0.247, 0.500, 0.743), Tm at (0.000, 0.000, 0.500) and Tm at (0.000, 0.333, 0.500).

Its formation energy from the elements is 0.03 eV per atom. The total energy is -4.590 eV/atom.

=====

VASP calculation (PBE) on a relaxed LiHgIrCl6 crystal.

It has space group P-31c (No. 163), with a = 6.3499 Å, b = 6.3499 Å, c = 11.6910 Å, α = 90.00°, β = 90.00° and γ = 120.00°. The distinct sites, in fractional coordinates, are Li at (0.3333, 0.6667, 0.2500), Hg at (0.0000, 0.0000, 0.0000), Ir at (0.3333, 0.6667, 0.7500) and Cl at (0.0204, 0.3730, 0.6334).

The total energy is -3.225 eV/atom. For the formation energy from raw total energies, the calculation gives -0.763 eV/atom.

=====

VASP calculation (PBE) on a relaxed La2DyIn2 crystal.

It has space group Immm (No. 71), with a = 5.123 Å, b = 7.180 Å, c = 8.535 Å, α = 90.00°, β = 90.00° and γ = 90.00°. The distinct sites, in fractional coordinates, are La at (0.000, 0.000, 0.189), Dy at (0.000, 0.500, 0.000) and In at (0.000, 0.286, 0.500).

Its formation energy from the elements is -0.39 eV per atom. The total energy is -4.381 eV/atom. The calculation puts the energy above the most stable polymorph in this dataset at 0 meV per atom.

=====

VASP calculation (PBE) on a relaxed AlIr2Se crystal.

It has space group I4/mmm (No. 139), with a = 4.130 Å, b = 4.130 Å, c = 7.080 Å, α = 90.00°, β = 90.00° and γ = 90.00°. The distinct sites, in fractional coordinates, are Al at (0.000, 0.000, 0.000), Ir at (0.000, 0.500, 0.250) and Se at (0.000, 0.000, 0.500).

The total energy is -6.194 eV/atom. The calculation puts the energy above the most stable polymorph in this dataset at 221 meV per atom. For the formation energy from raw total energies, the calculation gives 0.043 eV/atom.

=====

VASP calculation (PBE) on a relaxed Tb12InRh6 crystal.

It has space group Im-3 (No. 204), with a = 9.922 Å, b = 9.922 Å, c = 9.922 Å, α = 90.00°, β = 90.00° and γ = 90.00°. The distinct sites, in fractional coordinates, are Tb at (0.000, 0.301, 0.189), In at (0.000, 0.000, 0.000) and Rh at (0.000, 0.130, 0.500).

Its formation energy from the elements is -0.59 eV per atom. The total energy is -5.984 eV/atom.

=====

VASP calculation (PBE) on a relaxed TaTeC crystal.

It has space group C2/m (No. 12), with a = 15.069 Å, b = 3.379 Å, c = 6.065 Å, α = 90.00°, β = 112.61° and γ = 90.00°. The distinct sites, in fractional coordinates, are Ta at (0.240, 0.000, 0.191), Te at (0.105, 0.500, 0.327) and C at (0.186, 0.000, 0.825).

The total energy is -7.833 eV/atom. For the formation energy from raw total energies, the calculation gives 0.239 eV/atom.

=====

VASP calculation (PBE) on a relaxed Sc2Te crystal.

It has space group Fm-3m (No. 225), with a = 6.742 Å, b = 6.742 Å, c = 6.742 Å, α = 90.00°, β = 90.00° and γ = 90.00°. The distinct sites, in fractional coordinates, are Sc at (0.250, 0.250, 0.250) and Te at (0.000, 0.000, 0.000).

The total energy is -5.709 eV/atom. For the formation energy from raw total energies, the calculation gives -0.440 eV/atom.

=====

VASP calculation (PBE) on a relaxed Ho8ErTh2 crystal.

It has space group C2/m (No. 12), with a = 18.749 Å, b = 6.994 Å, c = 5.567 Å, α = 90.00°, β = 92.06° and γ = 90.00°. The distinct sites, in fractional coordinates, are Ho at (0.047, 0.000, 0.237), Ho at (0.131, 0.230, 0.738), Ho at (0.181, 0.500, 0.233), Er at (0.000, 0.500, 0.000) and Th at (0.218, 0.000, 0.261).

Its formation energy from the elements is 0.20 eV per atom. The total energy is -4.894 eV/atom. The calculation puts the energy above the most stable polymorph in this dataset at 12 meV per atom.

=====

VASP calculation (PBE) on a relaxed La2PuS3 crystal.

It has space group Immm (No. 71), with a = 4.088 Å, b = 5.792 Å, c = 12.324 Å, α = 90.00°, β = 90.00° and γ = 90.00°. The distinct sites, in fractional coordinates, are La at (0.000, 0.000, 0.169), Pu at (0.000, 0.000, 0.500), S at (0.000, 0.500, 0.159) and S at (0.000, 0.500, 0.500).

The total energy is -8.124 eV/atom. For the formation energy from raw total energies, the calculation gives -2.030 eV/atom.

=====

VASP calculation (PBE) on a relaxed Cs2YAgBr6 crystal.

It has space group Fm-3m (No. 225), with a = 11.393 Å, b = 11.393 Å, c = 11.393 Å, α = 90.00°, β = 90.00° and γ = 90.00°. The distinct sites, in fractional coordinates, are Cs at (0.250, 0.250, 0.250), Y at (0.000, 0.000, 0.000), Ag at (0.000, 0.000, 0.500) and Br at (0.000, 0.000, 0.246).

The total energy is -3.678 eV/atom. For the formation energy from raw total energies, the calculation gives -1.572 eV/atom.

=====

VASP calculation (PBE) on a relaxed NaCu2AgBr6 crystal.

It has space group C2/c (No. 15), with a = 13.116 Å, b = 12.656 Å, c = 6.941 Å, α = 90.00°, β = 101.65° and γ = 90.00°. The distinct sites, in fractional coordinates, are Na at (0.000, 0.093, 0.250), Cu at (0.187, 0.420, 0.286), Ag at (0.000, 0.270, 0.750), Br at (0.119, 0.266, 0.103), Br at (0.124, 0.094, 0.652) and Br at (0.143, 0.417, 0.610).

The total energy is -2.759 eV/atom. For the formation energy from raw total energies, the calculation gives -0.519 eV/atom.

=====

VASP calculation (PBE) on a relaxed DyAg2Pb crystal.

It has space group P4/mmm (No. 123), with a = 3.826 Å, b = 3.826 Å, c = 6.541 Å, α = 90.00°, β = 90.00° and γ = 90.00°. The distinct sites, in fractional coordinates, are Dy at (0.000, 0.000, 0.000), Ag at (0.500, 0.500, 0.232) and Pb at (0.000, 0.000, 0.500).

Its formation energy from the elements is -0.21 eV per atom. The total energy is -3.714 eV/atom.

=====

VASP calculation (PBE) on a relaxed Ho6TlAu crystal.

It has space group C2/m (No. 12), with a = 6.875 Å, b = 11.825 Å, c = 6.865 Å, α = 90.00°, β = 116.70° and γ = 90.00°. The distinct sites, in fractional coordinates, are Ho at (0.232, 0.204, 0.246), Ho at (0.235, 0.000, 0.764), Tl at (0.000, 0.500, 0.500) and Au at (0.000, 0.000, 0.000).

Its formation energy from the elements is -0.04 eV per atom. The total energy is -4.177 eV/atom.